[1]
This record from Alexandria describes an optimized crystal structure of MgScNbMo. The functional is GGA-PBE.

Values from the calculation:
As for the calculated density: 5.79 g cm⁻³. The formation energy from the elements comes out at 119.5 meV/atom.

Unit cell a=6.666 b=6.666 c=6.666 alpha=90.00 beta=90.00 gamma=90.00
Space group F-43m (No. 216)
Inequivalent atoms, fractional coordinates:
Mg 0.000 0.000 0.000
Sc 0.250 0.250 0.750
Nb 0.250 0.250 0.250
Mo 0.000 0.000 0.500

[2]
This record from Alexandria describes an optimized crystal structure of MgNbMoSe2. The functional is GGA-PBE.

Values from the calculation:
As for the calculated density: 4.86 g cm⁻³. The calculation puts the formation energy (no corrections) at 274 kJ/mol of formula units.

Unit cell a=5.074 b=5.074 c=4.924 alpha=90.00 beta=90.00 gamma=90.00
Space group P4/mmm (No. 123)
Inequivalent atoms, fractional coordinates:
Mg 0.000 0.000 0.000
Nb 0.500 0.500 0.500
Mo 0.500 0.500 0.000
Se 0.000 0.500 0.500

[3]
This record from Alexandria describes an optimized crystal structure of MgZr2NbMo. The functional is GGA-PBE.

Values from the calculation:
As for the calculated density: 5.82 g cm⁻³. The formation energy from the elements comes out at 1579.3 meV/atom.

Unit cell a=4.961 b=4.961 c=4.589 alpha=90.00 beta=90.00 gamma=90.00
Space group P4/mmm (No. 123)
Inequivalent atoms, fractional coordinates:
Mg 0.000 0.000 0.000
Zr 0.000 0.500 0.000
Nb 0.500 0.500 0.500
Mo 0.000 0.000 0.500

| no. | magnetic moment (Bohr magnetons per cell) |
| --- | --- |
| 1 | 0.00 |
| 2 | 2.52 |
| 3 | 0.00 |